# KTmSeO (PBE, optimized geometry)
# offset from the most stable computed form	0.647	eV/f.u.
# total magnetization	0.01	μB per cell
# E	-5.62	eV/atom
data_KTmSeO
_chemical_formula_sum 'K3 Tm3 Se3 O3'
_cell_length_a 3.7212
_cell_length_b 3.7212
_cell_length_c 21.2442
_cell_angle_alpha 90.00
_cell_angle_beta 90.00
_cell_angle_gamma 120.00
_space_group_name_H-M_alt 'R 3 m'
_space_group_IT_number 160
_space_group_name_Hall 'R 3 -2"'
loop_
_atom_site_label
_atom_site_type_symbol
_atom_site_fract_x
_atom_site_fract_y
_atom_site_fract_z
_atom_site_occupancy
K1 K 0.0000 0.0000 0.0000 1
Tm1 Tm 0.0000 0.0000 0.4779 1
Se1 Se 0.0000 0.0000 0.2276 1
O1 O 0.0000 0.0000 0.7669 1

# KTmSeO (PBE, optimized geometry)
# offset from the most stable computed form	0.034	eV/f.u.
# total magnetization	0.00	μB per cell
# E	-5.78	eV/atom
data_KTmSeO
_chemical_formula_sum 'K4 Tm4 Se4 O4'
_cell_length_a 5.7305
_cell_length_b 5.7293
_cell_length_c 11.4352
_cell_angle_alpha 90.00
_cell_angle_beta 104.08
_cell_angle_gamma 90.00
_space_group_name_H-M_alt 'C 1 2 1'
_space_group_IT_number 5
loop_
_space_group_symop_operation_xyz
'x,y,z'
'-x,y,-z'
'x+1/2,y+1/2,z'
'-x+1/2,y+1/2,-z'
loop_
_atom_site_label
_atom_site_type_symbol
_atom_site_fract_x
_atom_site_fract_y
_atom_site_fract_z
_atom_site_occupancy
K1 K 0.1998 0.0000 0.3951 1
Tm1 Tm 0.2059 0.2605 0.9112 1
Se1 Se 0.1458 0.4997 0.2816 1
O1 O 0.0000 0.0113 0.0000 1
O2 O 0.0000 0.5119 0.0000 1

# KTmSeO (PBE, optimized geometry)
# offset from the most stable computed form	0.000	eV/f.u.
# total magnetization	0.00	μB per cell
# E	-5.79	eV/atom
data_KTmSeO
_chemical_formula_sum 'K4 Tm4 Se4 O4'
_cell_length_a 7.7819
_cell_length_b 7.2965
_cell_length_c 6.4419
_cell_angle_alpha 90.00
_cell_angle_beta 101.78
_cell_angle_gamma 90.00
_space_group_name_H-M_alt 'P 1 21/c 1'
_space_group_IT_number 14
loop_
_space_group_symop_operation_xyz
'x,y,z'
'-x,-y,-z'
'-x,y+1/2,-z+1/2'
'x,-y+1/2,z+1/2'
loop_
_atom_site_label
_atom_site_type_symbol
_atom_site_fract_x
_atom_site_fract_y
_atom_site_fract_z
_atom_site_occupancy
K1 K 0.0906 0.2203 0.4872 1
Tm1 Tm 0.4764 0.6283 0.7772 1
Se1 Se 0.2458 0.5918 0.3587 1
O1 O 0.4069 0.1489 0.3827 1

# K2Zn3Se4O12 (PBE, optimized geometry)
# E	-5.00	eV/atom
data_K2Zn3Se4O12
_chemical_formula_sum 'K8 Zn12 Se16 O48'
_cell_length_a 11.2297
_cell_length_b 8.6014
_cell_length_c 13.6239
_cell_angle_alpha 90.00
_cell_angle_beta 93.71
_cell_angle_gamma 90.00
_space_group_name_H-M_alt 'C 1 2/c 1'
_space_group_IT_number 15
loop_
_space_group_symop_operation_xyz
'x,y,z'
'-x,-y,-z'
'-x,y,-z+1/2'
'x,-y,z+1/2'
'x+1/2,y+1/2,z'
'-x+1/2,-y+1/2,-z'
'-x+1/2,y+1/2,-z+1/2'
'x+1/2,-y+1/2,z+1/2'
loop_
_atom_site_label
_atom_site_type_symbol
_atom_site_fract_x
_atom_site_fract_y
_atom_site_fract_z
_atom_site_occupancy
K1 K 0.2121 0.0098 0.4819 1
Zn1 Zn 0.0000 0.0109 0.2500 1
Zn2 Zn 0.0254 0.3466 0.3987 1
Se1 Se 0.0211 0.3018 0.6331 1
Se2 Se 0.2052 0.2187 0.2210 1
O1 O 0.0684 0.1426 0.8543 1
O2 O 0.0860 0.4361 0.9069 1
O3 O 0.0912 0.2651 0.5261 1
O4 O 0.1185 0.1998 0.3233 1
O5 O 0.1400 0.3725 0.1548 1
O6 O 0.1421 0.0601 0.1623 1

# K3TmSi2O7 (PBE, optimized geometry)
# total magnetization	0.02	μB per cell
# E	-6.82	eV/atom
data_K3TmSi2O7
_chemical_formula_sum 'K18 Tm6 Si12 O42'
_cell_length_a 9.7755
_cell_length_b 9.7755
_cell_length_c 14.2383
_cell_angle_alpha 90.00
_cell_angle_beta 90.00
_cell_angle_gamma 120.00
_space_group_name_H-M_alt 'P 63/m c m'
_space_group_IT_number 193
_space_group_name_Hall '-P 6c 2'
loop_
_atom_site_label
_atom_site_type_symbol
_atom_site_fract_x
_atom_site_fract_y
_atom_site_fract_z
_atom_site_occupancy
K1 K 0.0000 0.0000 0.0000 1
K2 K 0.0000 0.3320 0.0925 1
K3 K 0.3333 0.6667 0.2500 1
Tm1 Tm 0.0000 0.0000 0.2500 1
Tm2 Tm 0.3333 0.6667 0.0000 1
Si1 Si 0.0000 0.3420 0.6423 1
O1 O 0.0000 0.1755 0.6485 1
O2 O 0.0000 0.4125 0.7500 1
O3 O 0.1578 0.4788 0.5906 1

# K2ZnSi4O10 (PBE, optimized geometry)
# E	-6.92	eV/atom
data_K2ZnSi4O10
_chemical_formula_sum 'K8 Zn4 Si16 O40'
_cell_length_a 7.0090
_cell_length_b 9.9594
_cell_length_c 13.8864
_cell_angle_alpha 90.00
_cell_angle_beta 90.00
_cell_angle_gamma 90.00
_space_group_name_H-M_alt 'P 21 21 21'
_space_group_IT_number 19
loop_
_space_group_symop_operation_xyz
'x,y,z'
'-x+1/2,-y,z+1/2'
'x+1/2,-y+1/2,-z'
'-x,y+1/2,-z+1/2'
loop_
_atom_site_label
_atom_site_type_symbol
_atom_site_fract_x
_atom_site_fract_y
_atom_site_fract_z
_atom_site_occupancy
K1 K 0.0097 0.1708 0.1044 1
K2 K 0.2306 0.3959 0.6141 1
Zn1 Zn 0.0115 0.1934 0.8595 1
Si1 Si 0.0272 0.9816 0.5781 1
Si2 Si 0.1794 0.9007 0.2295 1
Si3 Si 0.2324 0.3474 0.3195 1
Si4 Si 0.2365 0.0636 0.4044 1
O1 O 0.0006 0.3578 0.3394 1
O2 O 0.0282 0.8294 0.5422 1
O3 O 0.0791 0.0886 0.4911 1
O4 O 0.0881 0.0308 0.9333 1
O5 O 0.1039 0.0035 0.3149 1
O6 O 0.1831 0.0028 0.6643 1
O7 O 0.1846 0.5247 0.8822 1
O8 O 0.1850 0.7874 0.8736 1
O9 O 0.2210 0.2326 0.7699 1
O10 O 0.2250 0.6480 0.7066 1

# K2ZnSiO4 (PBE, optimized geometry)
# E	-5.71	eV/atom
data_K2ZnSiO4
_chemical_formula_sum 'K16 Zn8 Si8 O32'
_cell_length_a 10.8686
_cell_length_b 5.4082
_cell_length_c 15.6002
_cell_angle_alpha 90.00
_cell_angle_beta 90.00
_cell_angle_gamma 90.00
_space_group_name_H-M_alt 'P c a 21'
_space_group_IT_number 29
loop_
_space_group_symop_operation_xyz
'x,y,z'
'-x,-y,z+1/2'
'-x+1/2,y,z+1/2'
'x+1/2,-y,z'
loop_
_atom_site_label
_atom_site_type_symbol
_atom_site_fract_x
_atom_site_fract_y
_atom_site_fract_z
_atom_site_occupancy
K1 K 0.0169 0.0054 0.0000 1
K2 K 0.0182 0.5040 0.3769 1
K3 K 0.2346 0.0541 0.6236 1
K4 K 0.2400 0.5521 0.7563 1
Zn1 Zn 0.0078 0.0079 0.2496 1
Zn2 Zn 0.2419 0.5381 0.5027 1
Si1 Si 0.0065 0.5111 0.1276 1
Si2 Si 0.2353 0.0338 0.8736 1
O1 O 0.0144 0.7851 0.6473 1
O2 O 0.0273 0.3347 0.7158 1
O3 O 0.0830 0.4101 0.5469 1
O4 O 0.1056 0.9016 0.8428 1
O5 O 0.1504 0.5776 0.1020 1
O6 O 0.1763 0.0712 0.2890 1
O7 O 0.2002 0.8537 0.4460 1
O8 O 0.2011 0.3052 0.9152 1

# K2Zn2Si8O19 (PBE, optimized geometry)
# E	-7.15	eV/atom
data_K2Zn2Si8O19
_chemical_formula_sum 'K4 Zn4 Si16 O38'
_cell_length_a 13.7051
_cell_length_b 5.0485
_cell_length_c 12.4516
_cell_angle_alpha 90.00
_cell_angle_beta 107.41
_cell_angle_gamma 90.00
_space_group_name_H-M_alt 'C 1 2 1'
_space_group_IT_number 5
loop_
_space_group_symop_operation_xyz
'x,y,z'
'-x,y,-z'
'x+1/2,y+1/2,z'
'-x+1/2,y+1/2,-z'
loop_
_atom_site_label
_atom_site_type_symbol
_atom_site_fract_x
_atom_site_fract_y
_atom_site_fract_z
_atom_site_occupancy
K1 K 0.1240 0.0000 0.1485 1
Zn1 Zn 0.1987 0.9698 0.9106 1
Si1 Si 0.0034 0.3367 0.6657 1
Si2 Si 0.0713 0.4810 0.9230 1
Si3 Si 0.1252 0.8230 0.4287 1
Si4 Si 0.2082 0.0519 0.6627 1
O1 O 0.0000 0.3723 0.0000 1
O2 O 0.0093 0.3659 0.7972 1
O3 O 0.0303 0.6163 0.3984 1
O4 O 0.0782 0.7981 0.9275 1
O5 O 0.0843 0.1165 0.3847 1
O6 O 0.1102 0.2482 0.6483 1
O7 O 0.1798 0.8270 0.5633 1
O8 O 0.1834 0.3371 0.9612 1
O9 O 0.2038 0.7463 0.3591 1
O10 O 0.2502 0.4243 0.2150 1

# K2ZrSi3O9 (PBE, optimized geometry)
# total magnetization	0.01	μB per cell
# E	-7.57	eV/atom
data_K2ZrSi3O9
_chemical_formula_sum 'K4 Zr2 Si6 O18'
_cell_length_a 6.8868
_cell_length_b 6.8868
_cell_length_c 10.2670
_cell_angle_alpha 90.00
_cell_angle_beta 90.00
_cell_angle_gamma 120.00
_space_group_name_H-M_alt 'P 63'
_space_group_IT_number 173
loop_
_space_group_symop_operation_xyz
'x,y,z'
'x-y,x,z+1/2'
'-y,x-y,z'
'-x,-y,z+1/2'
'-x+y,-x,z'
'y,-x+y,z+1/2'
loop_
_atom_site_label
_atom_site_type_symbol
_atom_site_fract_x
_atom_site_fract_y
_atom_site_fract_z
_atom_site_occupancy
K1 K 0.3333 0.6667 0.0000 1
K2 K 0.3333 0.6667 0.3890 1
Zr1 Zr 0.0000 0.0000 0.4456 1
Si1 Si 0.1196 0.3855 0.6952 1
O1 O 0.0081 0.2541 0.5617 1
O2 O 0.0095 0.2556 0.8295 1
O3 O 0.0859 0.6080 0.6947 1

# K2Sm2O5 (PBE, optimized geometry)
# offset from the most stable computed form	0.000	eV/f.u.
# total magnetization	2.00	μB per cell
# E	-6.16	eV/atom
data_K2Sm2O5
_chemical_formula_sum 'K2 Sm2 O5'
_cell_length_a 4.3780
_cell_length_b 4.3780
_cell_length_c 9.0312
_cell_angle_alpha 90.00
_cell_angle_beta 90.00
_cell_angle_gamma 90.00
_space_group_name_H-M_alt 'P 4/m m m'
_space_group_IT_number 123
_space_group_name_Hall '-P 4 2'
loop_
_atom_site_label
_atom_site_type_symbol
_atom_site_fract_x
_atom_site_fract_y
_atom_site_fract_z
_atom_site_occupancy
K1 K 0.0000 0.0000 0.0000 1
K2 K 0.0000 0.0000 0.5000 1
Sm1 Sm 0.5000 0.5000 0.2412 1
O1 O 0.0000 0.5000 0.3026 1
O2 O 0.5000 0.5000 0.0000 1